The following is a DFT calculation (GGA-PBE) of an optimized crystal structure of K2Mn3S6.

Lattice parameters (Å, degrees): 5.9383 5.9375 7.6691 82.58 75.03 60.00
Sites, in units of the cell vectors:
S (0.7219, 0.0000, 0.8278)
S (0.9406, 0.6688, 0.1718)
Mn (0.3323, 0.3354, 0.0000)
S (0.6094, 0.3312, 0.1718)
S (0.3906, 0.6688, 0.8282)
K (0.8333, 0.3334, 0.5000)
S (0.2781, 0.0000, 0.1722)
K (0.1667, 0.6666, 0.5000)
Mn (0.6677, 0.6646, 0.0000)
Mn (0.0000, 0.0000, 0.0000)
S (0.0594, 0.3312, 0.8282)

Values from the calculation:
As for the space-group type: C2/m (12).



The following is a DFT calculation (GGA-PBE) of an optimized crystal structure of KMnS2.

Lattice parameters (Å, degrees): 5.2470 6.7379 6.7379 116.41 101.34 101.34
Sites, in units of the cell vectors:
S (0.9011, 0.4167, 0.2037)
Mn (0.2500, 0.5015, 0.4985)
Mn (0.7500, 0.4985, 0.5015)
S (0.4011, 0.2037, 0.4167)
K (0.7500, 0.8567, 0.1433)
K (0.2500, 0.1433, 0.8567)
S (0.5989, 0.7963, 0.5833)
S (0.0989, 0.5833, 0.7963)

Values from the calculation:
As for the space-group type: C2/c (15).



The following is a DFT calculation (GGA-PBE) of an optimized crystal structure of KMn2S.

Lattice parameters (Å, degrees): 5.3323 5.3323 8.2580 71.16 71.16 90.00
Sites, in units of the cell vectors:
Mn (0.8750, 0.6250, 0.7500)
S (0.5000, 0.5000, 0.0000)
Mn (0.3750, 0.6250, 0.7500)
Mn (0.3750, 0.1250, 0.2500)
Mn (0.3750, 0.6250, 0.2500)
K (0.0000, 0.0000, 0.0000)
K (0.7500, 0.2500, 0.5000)
S (0.2500, 0.7500, 0.5000)

Values from the calculation:
As for the space-group type: I4_1/amd (141).



The following is a DFT calculation (GGA-PBE) of an optimized crystal structure of K3MnS3.

Lattice parameters (Å, degrees): 7.6625 7.6625 7.6011 97.29 97.29 113.75
Sites, in units of the cell vectors:
S (0.1464, 0.4265, 0.2717)
S (0.5735, 0.8536, 0.7283)
Mn (0.1484, 0.1484, 0.1356)
K (0.2590, 0.7410, 0.0000)
K (0.8196, 0.1804, 0.5000)
S (0.8536, 0.5735, 0.7283)
K (0.3913, 0.3913, 0.6437)
S (0.8904, 0.8904, 0.1638)
S (0.4265, 0.1464, 0.2717)
K (0.1804, 0.8196, 0.5000)
Mn (0.8516, 0.8516, 0.8644)
K (0.7410, 0.2590, 0.0000)
K (0.6087, 0.6087, 0.3564)
S (0.1096, 0.1096, 0.8362)

Values from the calculation:
Its energy relative to the lowest polymorph listed for this composition is 14 meV/atom. As for the space-group type: C2/m (12).



The following is a DFT calculation (GGA-PBE) of an optimized crystal structure of KMn2S3.

Lattice parameters (Å, degrees): 3.9780 6.8260 11.9553 111.78 99.58 90.00
Sites, in units of the cell vectors:
Mn (0.0605, 0.0763, 0.1210)
S (0.6168, 0.1407, 0.2337)
S (0.9989, 0.7382, 0.9978)
S (0.7374, 0.7043, 0.4749)
S (0.2626, 0.2957, 0.5251)
K (0.4070, 0.3788, 0.8140)
Mn (0.2775, 0.6535, 0.5549)
Mn (0.9395, 0.9237, 0.8790)
K (0.5930, 0.6212, 0.1860)
S (0.0011, 0.2618, 0.0022)
S (0.3832, 0.8593, 0.7663)
Mn (0.7225, 0.3465, 0.4451)

Values from the calculation:
As for the space-group type: C2/m (12).



The following is a DFT calculation (GGA-PBE) of an optimized crystal structure of KMnS2.

Lattice parameters (Å, degrees): 4.5676 4.5676 4.5676 60.00 60.00 60.00
Sites, in units of the cell vectors:
K (0.0000, 0.0000, 0.0000)
S (0.7500, 0.7500, 0.7500)
S (0.2500, 0.2500, 0.2500)
Mn (0.5000, 0.5000, 0.5000)

Values from the calculation:
As for the space-group type: Fm-3m (225).



no.,formation energy from raw total energies (eV/f.u.),magnetic moment (Bohr magnetons per cell),density (g/cm3)
1,-8.45,6.96,3.20
2,-3.55,4.00,2.65
3,0.84,13.70,2.88
4,-6.86,5.94,2.24
5,-4.03,14.09,2.75
6,1.45,0.00,3.90